[1]
This record from OQMD via LeMat-Bulk describes an optimized crystal structure of Tb3CdPt8. The functional is GGA-PBE.

abc: 9.4096 9.4096 9.4096
angles: 33.51 33.51 33.51
With the nearest neighbours (Å) after each atom.
Atoms (fractional coordinates):
Tb (0.0000, 0.0000, 0.0000)  12 Pt 3.08-3.28, 3 Cd 3.25, 1 Tb 3.41
Tb (0.1283, 0.1283, 0.1283)  12 Pt 3.13-3.22, 4 Tb 3.41-3.42
Tb (0.5131, 0.5131, 0.5131)  12 Pt 3.07-3.33, 1 Cd 3.23, 3 Tb 3.42
Cd (0.6346, 0.6346, 0.6346)  12 Pt 3.12-3.25, 4 Tb 3.23-3.25
Pt (0.0688, 0.0688, 0.5646)  6 Pt 2.69-2.74
Pt (0.0688, 0.5646, 0.0688)  6 Pt 2.69-2.74
Pt (0.0701, 0.5690, 0.5690)  6 Pt 2.69-2.74
Pt (0.3182, 0.3182, 0.3182)  6 Pt 2.73-2.74
Pt (0.5646, 0.0688, 0.0688)  6 Pt 2.69-2.74
Pt (0.5690, 0.0701, 0.5690)  6 Pt 2.69-2.74
Pt (0.5690, 0.5690, 0.0701)  6 Pt 2.69-2.74
Pt (0.8182, 0.8182, 0.8182)  6 Pt 2.69-2.71

E_form: -972 meV/atom

[2]
This record from OQMD via LeMat-Bulk describes an optimized crystal structure of HoTlAg. The functional is GGA-PBE.

abc: 4.8122 4.8122 4.8122
angles: 60.00 60.00 60.00
With the nearest neighbours (Å) after each atom.
Atoms (fractional coordinates):
Ho (0.0000, 0.0000, 0.0000)  4 Ag 2.95
Tl (0.5000, 0.5000, 0.5000)  4 Ag 2.95
Ag (0.2500, 0.2500, 0.2500)  4 Tl 2.95, 4 Ho 2.95

[3]
This record from OQMD via LeMat-Bulk describes an optimized crystal structure of DyHoNi8B2. The functional is GGA-PBE.

abc: 4.9669 4.9669 6.9579
angles: 90.00 90.00 120.00
With the nearest neighbours (Å) after each atom.
Atoms (fractional coordinates):
Dy (0.0000, 0.0000, 0.0000)  6 B 2.87, 12 Ni 2.88
Ho (0.0000, 0.0000, 0.5000)  18 Ni 2.87-3.21
Ni (0.0000, 0.5000, 0.2082)  2 B 2.04
Ni (0.0000, 0.5000, 0.7918)  2 B 2.04
Ni (0.3333, 0.6667, 0.5000)  6 Ni 2.49
Ni (0.5000, 0.0000, 0.2082)  2 B 2.04
Ni (0.5000, 0.0000, 0.7918)  2 B 2.04
Ni (0.5000, 0.5000, 0.2082)  2 B 2.04
Ni (0.5000, 0.5000, 0.7918)  2 B 2.04
Ni (0.6667, 0.3333, 0.5000)  6 Ni 2.49
B (0.3333, 0.6667, 0.0000)  6 Ni 2.04
B (0.6667, 0.3333, 0.0000)  6 Ni 2.04

E above lowest polymorph: 3.5 meV/atom

[4]
This record from OQMD via LeMat-Bulk describes an optimized crystal structure of TlCoCl3. The functional is GGA-PBE.

abc: 11.9530 11.9530 5.8712
angles: 90.00 90.00 120.00
With the nearest neighbours (Å) after each atom.
Atoms (fractional coordinates):
Tl (0.0000, 0.3334, 0.0000)  12 Cl 3.40-3.78
Tl (0.0000, 0.6666, 0.5000)  12 Cl 3.40-3.78
Tl (0.3334, 0.0000, 0.0000)  12 Cl 3.40-3.78
Tl (0.3334, 0.3334, 0.5000)  12 Cl 3.40-3.78
Tl (0.6666, 0.0000, 0.5000)  12 Cl 3.40-3.78
Tl (0.6666, 0.6666, 0.0000)  12 Cl 3.40-3.78
Co (0.0000, 0.0000, 0.2132)  6 Cl 2.41-2.43
Co (0.0000, 0.0000, 0.7132)  6 Cl 2.41-2.43
Co (0.3333, 0.6667, 0.2847)  6 Cl 2.41-2.42
Co (0.3333, 0.6667, 0.7847)  6 Cl 2.41-2.42
Co (0.6667, 0.3333, 0.2847)  6 Cl 2.41-2.42
Co (0.6667, 0.3333, 0.7847)  6 Cl 2.41-2.42
Cl (0.0000, 0.1607, 0.4611)  2 Co 2.41-2.43
Cl (0.0000, 0.8393, 0.9611)  2 Co 2.41-2.43
Cl (0.1607, 0.0000, 0.4611)  2 Co 2.41-2.43
Cl (0.1607, 0.1607, 0.9611)  2 Co 2.41-2.43
Cl (0.1727, 0.5059, 0.5363)  2 Co 2.41-2.42
Cl (0.1727, 0.6668, 0.0363)  2 Co 2.41-2.42
Cl (0.3332, 0.5059, 0.0363)  2 Co 2.41-2.42
Cl (0.3332, 0.8273, 0.5363)  2 Co 2.41-2.42
Cl (0.4941, 0.6668, 0.5363)  2 Co 2.41-2.42
Cl (0.4941, 0.8273, 0.0363)  2 Co 2.41-2.42
Cl (0.5059, 0.1727, 0.5363)  2 Co 2.41-2.42
Cl (0.5059, 0.3332, 0.0363)  2 Co 2.41-2.42
Cl (0.6668, 0.1727, 0.0363)  2 Co 2.41-2.42
Cl (0.6668, 0.4941, 0.5363)  2 Co 2.41-2.42
Cl (0.8273, 0.3332, 0.5363)  2 Co 2.41-2.42
Cl (0.8273, 0.4941, 0.0363)  2 Co 2.41-2.42
Cl (0.8393, 0.0000, 0.9611)  2 Co 2.41-2.43
Cl (0.8393, 0.8393, 0.4611)  2 Co 2.41-2.43

[5]
This record from OQMD via LeMat-Bulk describes an optimized crystal structure of ZnMo. The functional is GGA-PBE.

abc: 5.4673 4.5073 7.5174
angles: 90.00 100.22 90.00
With the nearest neighbours (Å) after each atom.
Atoms (fractional coordinates):
Zn (0.0291, 0.2500, 0.1104)  8 Mo 2.73-2.82, 4 Zn 2.78-2.88
Zn (0.1360, 0.7500, 0.5466)  7 Zn 2.69-2.88, 5 Mo 2.77-2.86
Zn (0.3547, 0.2500, 0.4452)  7 Zn 2.69-2.81, 5 Mo 2.74-2.87
Zn (0.6453, 0.7500, 0.5548)  7 Zn 2.69-2.81, 5 Mo 2.74-2.87
Zn (0.8640, 0.2500, 0.4534)  7 Zn 2.69-2.88, 5 Mo 2.77-2.86
Zn (0.9709, 0.7500, 0.8896)  8 Mo 2.73-2.82, 4 Zn 2.78-2.88
Mo (0.1995, 0.2500, 0.7771)  5 Mo 2.64-2.93, 7 Zn 2.77-2.83
Mo (0.3160, 0.7500, 0.2122)  5 Mo 2.64-2.83, 7 Zn 2.77-2.87
Mo (0.4658, 0.7500, 0.8726)  8 Mo 2.68-2.94, 4 Zn 2.73-2.77
Mo (0.5342, 0.2500, 0.1274)  8 Mo 2.68-2.94, 4 Zn 2.73-2.77
Mo (0.6840, 0.2500, 0.7878)  5 Mo 2.64-2.83, 7 Zn 2.77-2.87
Mo (0.8005, 0.7500, 0.2229)  5 Mo 2.64-2.93, 7 Zn 2.77-2.83

E_form: 266 meV/atom
E above lowest polymorph: 205.5 meV/atom

[6]
This record from OQMD via LeMat-Bulk describes an optimized crystal structure of ErC. The functional is GGA-PBE.

abc: 3.7994 3.7994 3.7994
angles: 60.00 60.00 60.00
With the nearest neighbours (Å) after each atom.
Atoms (fractional coordinates):
Er (0.0000, 0.0000, 0.0000)  4 C 2.33
C (0.2500, 0.2500, 0.2500)  4 Er 2.33

Number 1: DFT total energy -6.241 eV/atom. Number 2: DFT total energy -3.427 eV/atom. Number 3: DFT total energy -6.086 eV/atom. Number 4: DFT total energy -3.742 eV/atom. Number 5: DFT total energy -5.790 eV/atom. Number 6: DFT total energy -6.460 eV/atom.